No. 1
Here is a geometry-optimized MnCuRu2 structure from Alexandria via LeMat-Bulk. Energies are from PBE.

abc: 2.737 3.737 5.246
angles: 90.00 90.00 90.00
Last column: magnetic moment on the atom in μB.
Fractional coordinates of all 4 atoms:
Cu  0.000  0.000  0.506  0.06
Mn  0.500  0.500  0.742  3.15
Ru  0.000  0.000  0.010  -0.19
Ru  0.500  0.500  0.242  0.02

Results
space-group type = Pmm2
calculated formation energy = 0.14 eV per atom
density of states at the Fermi level = 0.966 states/eV/atom
magnetic moment = 3.13 μB per formula unit

---

No. 2
Here is a geometry-optimized Ho3ThC2 structure from Alexandria via LeMat-Bulk. Energies are from PBE.

abc: 7.199 7.199 7.437
angles: 61.05 61.05 60.00
Last column: magnetic moment on the atom in μB.
Fractional coordinates of all 12 atoms:
Ho  0.239  0.742  0.780  0.15
Ho  0.742  0.239  0.780  0.15
Ho  0.239  0.239  0.780  0.15
Ho  0.258  0.761  0.220  0.15
Ho  0.761  0.258  0.220  0.15
Ho  0.761  0.761  0.220  0.15
Th  0.257  0.257  0.228  0.14
Th  0.743  0.743  0.772  0.14
C  0.000  0.000  0.000  -0.01
C  0.500  0.000  0.000  0.00
C  0.500  0.500  0.000  0.00
C  0.000  0.500  0.000  0.00

Results
space-group type = R-3m
calculated formation energy = -0.27 eV per atom
density of states at the Fermi level = 0.818 states/eV/atom
magnetic moment = 1.05 μB per formula unit

---

No. 3
Here is a geometry-optimized TbScAgSn structure from Alexandria via LeMat-Bulk. Energies are from PBE.

abc: 5.103 5.103 5.103
angles: 60.00 60.00 60.00
Last column: magnetic moment on the atom in μB.
Fractional coordinates of all 4 atoms:
Sc  0.250  0.250  0.250  0.29
Tb  0.750  0.750  0.750  0.18
Sn  0.000  0.000  0.000  -0.02
Ag  0.500  0.500  0.500  0.02

Results
space-group type = F-43m
calculated formation energy = -0.48 eV per atom
density of states at the Fermi level = 0.881 states/eV/atom
magnetic moment = 0.70 μB per formula unit

---

No. 4
Here is a geometry-optimized OsS3Cl structure from Alexandria via LeMat-Bulk. Energies are from PBE.

abc: 4.611 4.611 4.611
angles: 90.00 90.00 90.00
Fractional coordinates of all 5 atoms:
S  0.000  0.500  0.000
S  0.000  0.000  0.500
S  0.500  0.000  0.000
Os  0.000  0.000  0.000
Cl  0.500  0.500  0.500

Results
space-group type = Pm-3m
density of states at the Fermi level = 0.901 states/eV/atom
magnetic moment = 0.00 μB per formula unit
polymorph energy (0 for the lowest one) = 0 meV per atom
ΔE_f (raw) = 0.548 eV/atom

---

No. 5
Here is a geometry-optimized BaMgAgGe2 structure from Alexandria via LeMat-Bulk. Energies are from PBE.

abc: 4.611 4.611 6.559
angles: 110.58 110.58 90.00
Fractional coordinates of all 5 atoms:
Ba  0.000  0.000  0.000
Mg  0.750  0.250  0.500
Ag  0.250  0.750  0.500
Ge  0.614  0.614  0.228
Ge  0.386  0.386  0.772

Results
space-group type = I-4m2
calculated formation energy = -0.42 eV per atom
density of states at the Fermi level = 0.369 states/eV/atom
magnetic moment = 0.00 μB per formula unit

---

No. 6
Here is a geometry-optimized AgPd2Au structure from Alexandria via LeMat-Bulk. Energies are from PBE.

abc: 9.555 9.555 9.555
angles: 17.17 17.17 17.17
Fractional coordinates of all 4 atoms:
Au  0.752  0.752  0.752
Pd  0.501  0.501  0.501
Pd  0.249  0.249  0.249
Ag  0.998  0.998  0.998

Results
space-group type = R3m
calculated formation energy = -0.03 eV per atom
density of states at the Fermi level = 1.037 states/eV/atom
magnetic moment = 0.00 μB per formula unit
polymorph energy (0 for the lowest one) = 29 meV per atom

---

No. 7
Here is a geometry-optimized Pr2MgGaAu6 structure from Alexandria via LeMat-Bulk. Energies are from PBE.

abc: 6.960 7.041 7.050
angles: 46.23 81.66 99.45
Fractional coordinates of all 10 atoms:
Pr  0.223  0.746  0.517
Pr  0.777  0.254  0.483
Mg  0.500  0.500  0.000
Ga  0.000  0.000  0.000
Au  0.217  0.717  0.005
Au  0.595  0.748  0.156
Au  0.223  0.217  0.503
Au  0.783  0.283  0.995
Au  0.405  0.252  0.844
Au  0.777  0.783  0.497

Results
space-group type = P-1
calculated formation energy = -0.50 eV per atom
density of states at the Fermi level = 0.556 states/eV/atom
magnetic moment = 0.00 μB per formula unit

---

No. 8
Here is a geometry-optimized Zn2TeP structure from Alexandria via LeMat-Bulk. Energies are from PBE.

abc: 4.201 3.484 6.510
angles: 90.00 90.00 90.00
Fractional coordinates of all 4 atoms:
Zn  0.000  0.875  0.025
Zn  0.500  0.376  0.432
Te  0.500  0.875  0.772
P  0.000  0.375  0.271

Results
space-group type = Pmm2
density of states at the Fermi level = 0.237 states/eV/atom
magnetic moment = 0.00 μB per formula unit
polymorph energy (0 for the lowest one) = 11 meV per atom
ΔE_f (raw) = -0.161 eV/atom

---

No. 9
Here is a geometry-optimized CaCr4Hg structure from Alexandria via LeMat-Bulk. Energies are from PBE.

abc: 5.083 5.083 5.083
angles: 60.00 60.00 60.00
Fractional coordinates of all 6 atoms:
Ca  0.000  0.000  0.000
Cr  0.881  0.373  0.373
Cr  0.373  0.373  0.881
Cr  0.373  0.881  0.373
Cr  0.373  0.373  0.373
Hg  0.750  0.750  0.750

Results
space-group type = F-43m
calculated formation energy = 0.62 eV per atom
density of states at the Fermi level = 1.601 states/eV/atom
magnetic moment = 0.00 μB per formula unit

---

No. 10
Here is a geometry-optimized MnFe2I8 structure from Alexandria via LeMat-Bulk. Energies are from PBE.

abc: 6.903 8.592 8.592
angles: 83.54 88.38 88.38
Last column: magnetic moment on the atom in μB.
Fractional coordinates of all 11 atoms:
Mn  0.000  0.000  0.000  4.39
Fe  0.632  0.802  0.802  3.55
Fe  0.368  0.198  0.198  3.55
I  0.232  0.276  0.921  0.21
I  0.768  0.079  0.724  0.21
I  0.259  0.806  0.806  0.21
I  0.741  0.194  0.194  0.21
I  0.232  0.921  0.276  0.21
I  0.768  0.724  0.079  0.21
I  0.744  0.614  0.614  0.27
I  0.256  0.386  0.386  0.27

Results
space-group type = C2/m
density of states at the Fermi level = 0.172 states/eV/atom
magnetic moment = 15.09 μB per formula unit
ΔE_f (raw) = -0.213 eV/atom

---

No. 11
Here is a geometry-optimized CsInIN2 structure from Alexandria via LeMat-Bulk. Energies are from PBE.

abc: 4.835 4.835 6.164
angles: 90.00 90.00 90.00
Last column: magnetic moment on the atom in μB.
Fractional coordinates of all 5 atoms:
Cs  0.500  0.500  0.500  0.00
I  0.000  0.000  0.500  0.05
N  0.000  0.500  0.000  1.03
N  0.500  0.000  0.000  1.03
In  0.000  0.000  0.000  -0.08

Results
space-group type = P4/mmm
density of states at the Fermi level = 0.265 states/eV/atom
magnetic moment = 3.13 μB per formula unit
ΔE_f (raw) = 0.915 eV/atom

---

No. 12
Here is a geometry-optimized Sc4Te structure from Alexandria via LeMat-Bulk. Energies are from PBE.

abc: 5.645 5.645 5.645
angles: 98.19 98.19 135.65
Fractional coordinates of all 5 atoms:
Sc  0.189  0.614  0.803
Sc  0.614  0.811  0.426
Sc  0.811  0.386  0.197
Sc  0.386  0.189  0.574
Te  0.000  0.000  0.000

Results
space-group type = I4/m
density of states at the Fermi level = 0.946 states/eV/atom
magnetic moment = 0.00 μB per formula unit
polymorph energy (0 for the lowest one) = 0 meV per atom
ΔE_f (raw) = -0.377 eV/atom

---

No. 13
Here is a geometry-optimized Hf2ZrCd structure from Alexandria via LeMat-Bulk. Energies are from PBE.

abc: 6.520 3.206 4.226
angles: 90.00 90.00 90.00
Fractional coordinates of all 4 atoms:
Hf  0.245  0.000  0.000
Hf  0.755  0.000  0.000
Zr  0.000  0.500  0.500
Cd  0.500  0.500  0.500

Results
space-group type = Pmmm
calculated formation energy = 0.01 eV per atom
density of states at the Fermi level = 0.983 states/eV/atom
magnetic moment = 0.00 μB per formula unit

---

No. 14
Here is a geometry-optimized GeSeIO2 structure from Alexandria via LeMat-Bulk. Energies are from PBE.

abc: 4.050 4.050 5.964
angles: 90.00 90.00 90.00
Fractional coordinates of all 5 atoms:
I  0.000  0.000  0.500
Ge  0.500  0.500  0.500
O  0.000  0.500  0.000
O  0.500  0.000  0.000
Se  0.000  0.000  0.000

Results
space-group type = P4/mmm
density of states at the Fermi level = 0.551 states/eV/atom
magnetic moment = 0.00 μB per formula unit
polymorph energy (0 for the lowest one) = 424 meV per atom
ΔE_f (raw) = 0.250 eV/atom

---

No. 15
Here is a geometry-optimized Zr2NbOs structure from Alexandria via LeMat-Bulk. Energies are from PBE.

abc: 7.608 7.608 6.081
angles: 51.28 51.28 90.00
Fractional coordinates of all 8 atoms:
Nb  0.500  0.500  0.000
Nb  0.250  0.750  0.500
Os  0.000  0.000  0.000
Os  0.750  0.250  0.500
Zr  0.656  0.125  0.250
Zr  0.094  0.625  0.250
Zr  0.375  0.344  0.750
Zr  0.875  0.906  0.750

Results
space-group type = I-42d
calculated formation energy = 0.32 eV per atom
density of states at the Fermi level = 1.098 states/eV/atom
magnetic moment = 0.00 μB per formula unit

---

No. 16
Here is a geometry-optimized Ac2PuNiS5 structure from Alexandria via LeMat-Bulk. Energies are from PBE.

abc: 4.039 8.678 12.374
angles: 90.00 90.00 103.46
Last column: magnetic moment on the atom in μB.
Fractional coordinates of all 18 atoms:
Ac  0.880  0.759  0.844  0.01
Ac  0.119  0.237  0.699  0.01
Ac  0.120  0.241  0.344  0.01
Ac  0.881  0.763  0.199  0.01
Pu  0.820  0.640  0.526  4.97
Pu  0.180  0.360  0.026  4.97
Ni  0.555  0.110  0.922  -0.73
Ni  0.445  0.890  0.422  -0.73
S  0.344  0.688  0.022  -0.04
S  0.686  0.373  0.873  -0.09
S  0.496  0.991  0.756  -0.05
S  0.303  0.606  0.682  -0.07
S  0.976  0.952  0.500  -0.15
S  0.656  0.312  0.522  -0.04
S  0.314  0.627  0.373  -0.09
S  0.504  0.009  0.256  -0.05
S  0.697  0.394  0.182  -0.07
S  0.024  0.048  0.000  -0.15

Results
space-group type = Cmc2_1
density of states at the Fermi level = 0.951 states/eV/atom
magnetic moment = 3.98 μB per formula unit
ΔE_f (raw) = -1.704 eV/atom

---

No. 17
Here is a geometry-optimized Sr2YNi structure from Alexandria via LeMat-Bulk. Energies are from PBE.

abc: 5.655 5.655 5.655
angles: 60.00 60.00 60.00
Fractional coordinates of all 4 atoms:
Y  0.500  0.500  0.500
Sr  0.250  0.250  0.250
Sr  0.750  0.750  0.750
Ni  0.000  0.000  0.000

Results
space-group type = Fm-3m
calculated formation energy = 0.55 eV per atom
density of states at the Fermi level = 1.504 states/eV/atom
magnetic moment = 0.00 μB per formula unit
polymorph energy (0 for the lowest one) = 563 meV per atom

---

No. 18
Here is a geometry-optimized CdCoAu2 structure from Alexandria via LeMat-Bulk. Energies are from PBE.

abc: 2.956 3.810 6.043
angles: 90.00 90.00 90.00
Last column: magnetic moment on the atom in μB.
Fractional coordinates of all 4 atoms:
Au  0.000  0.000  0.974  0.02
Au  0.500  0.500  0.248  0.00
Cd  0.000  0.000  0.511  -0.02
Co  0.500  0.500  0.766  1.68

Results
space-group type = Pmm2
calculated formation energy = 0.14 eV per atom
density of states at the Fermi level = 1.191 states/eV/atom
magnetic moment = 1.64 μB per formula unit

---

Number 1: final energy -7.82 eV per atom. Number 2: final energy -6.87 eV per atom. Number 3: final energy -4.94 eV per atom. Number 4: final energy -4.54 eV per atom. Number 5: final energy -3.54 eV per atom. Number 6: final energy -4.16 eV per atom. Number 7: final energy -3.89 eV per atom. Number 8: final energy -2.94 eV per atom. Number 9: final energy -6.18 eV per atom. Number 10: final energy -3.71 eV per atom. Number 11: final energy -3.44 eV per atom. Number 12: final energy -6.07 eV per atom. Number 13: final energy -7.34 eV per atom. Number 14: final energy -3.66 eV per atom. Number 15: final energy -9.28 eV per atom. Number 16: final energy -7.15 eV per atom. Number 17: final energy -3.36 eV per atom. Number 18: final energy -3.50 eV per atom.